Material: LiCuMoPb
Method: DFT, PBE
State: relaxed

The calculated total energy is -4.51 eV/atom. As for the crystal system: cubic.

The space group is F-43m (No. 216) and the conventional cell measures 6.4606, 6.4606 and 6.4606 Å, with angles of 90.00, 90.00 and 90.00 degrees. The distinct sites, in fractional coordinates, are Li at (0.0000, 0.0000, 0.0000), Cu at (0.0000, 0.0000, 0.5000), Mo at (0.2500, 0.2500, 0.7500) and Pb at (0.2500, 0.2500, 0.2500).